Entry from OQMD: Y2Zr2O7 after structural relaxation (PBE).

For the magnetic moment, the calculation gives 0.00 μB per formula unit. The total energy comes out at -9.282 eV/atom.

Lattice parameters (Å, degrees): 7.412 7.412 7.412 60.00 60.00 60.00
Element x y z (fractional)
Y 0.000 0.000 0.000
Y 0.000 0.000 0.500
Y 0.000 0.500 0.000
Y 0.500 0.000 0.000
Zr 0.000 0.500 0.500
Zr 0.500 0.000 0.500
Zr 0.500 0.500 0.000
Zr 0.500 0.500 0.500
O 0.125 0.125 0.125
O 0.158 0.158 0.592
O 0.158 0.592 0.158
O 0.158 0.592 0.592
O 0.408 0.408 0.842
O 0.408 0.842 0.408
O 0.408 0.842 0.842
O 0.592 0.158 0.158
O 0.592 0.158 0.592
O 0.592 0.592 0.158
O 0.842 0.408 0.408
O 0.842 0.408 0.842
O 0.842 0.842 0.408
O 0.875 0.875 0.875

Entry from OQMD: Y2Zr30O63 after structural relaxation (PBE).

The offset from the most stable computed form comes out at 0 meV/atom. For the magnetic moment, the calculation gives 0.02 μB per formula unit.

Lattice parameters (Å, degrees): 10.260 10.302 10.336 89.99 89.85 89.85
Element x y z (fractional)
Y 0.000 0.000 0.000
Y 0.494 0.754 0.753
Zr 0.000 0.252 0.249
Zr 0.244 0.999 0.260
Zr 0.245 0.500 0.252
Zr 0.248 0.506 0.751
Zr 0.249 0.249 0.505
Zr 0.250 0.751 0.004
Zr 0.252 0.252 0.004
Zr 0.254 0.010 0.760
Zr 0.260 0.739 0.493
Zr 0.496 0.250 0.253
Zr 0.497 0.502 0.003
Zr 0.500 0.003 0.005
Zr 0.500 0.004 0.503
Zr 0.500 0.498 0.503
Zr 0.500 0.754 0.250
Zr 0.501 0.252 0.756
Zr 0.743 0.750 0.003
Zr 0.744 0.501 0.751
Zr 0.745 0.253 0.504
Zr 0.745 0.499 0.251
Zr 0.745 0.748 0.498
Zr 0.750 0.251 0.004
Zr 0.750 0.999 0.250
Zr 0.753 0.998 0.752
Zr 0.987 0.741 0.763
Zr 0.988 0.014 0.494
Zr 0.992 0.745 0.249
Zr 0.994 0.499 0.500
Zr 0.997 0.252 0.754
Zr 0.999 0.498 0.003
O 0.112 0.642 0.901
O 0.113 0.640 0.392
O 0.114 0.146 0.391
O 0.117 0.367 0.610
O 0.118 0.362 0.110
O 0.121 0.394 0.859
O 0.121 0.610 0.143
O 0.121 0.883 0.840
O 0.122 0.100 0.636
O 0.123 0.390 0.362
O 0.124 0.858 0.129
O 0.128 0.145 0.885
O 0.129 0.117 0.146
O 0.132 0.641 0.644
O 0.137 0.893 0.402
O 0.340 0.879 0.634
O 0.363 0.616 0.869
O 0.368 0.617 0.362
O 0.369 0.115 0.366
O 0.369 0.380 0.648
O 0.369 0.876 0.900
O 0.373 0.389 0.147
O 0.373 0.891 0.148
O 0.378 0.363 0.397
O 0.378 0.368 0.897
O 0.379 0.121 0.866
O 0.379 0.141 0.114
O 0.379 0.623 0.609
O 0.379 0.641 0.113
O 0.380 0.134 0.615
O 0.391 0.862 0.394
O 0.614 0.138 0.398
O 0.614 0.637 0.392
O 0.615 0.863 0.112
O 0.616 0.366 0.612
O 0.618 0.364 0.111
O 0.619 0.633 0.895
O 0.620 0.140 0.899
O 0.621 0.114 0.148
O 0.624 0.386 0.861
O 0.624 0.615 0.144
O 0.624 0.894 0.867
O 0.625 0.384 0.362
O 0.626 0.119 0.648
O 0.627 0.873 0.609
O 0.630 0.884 0.361
O 0.631 0.615 0.635
O 0.867 0.613 0.363
O 0.867 0.881 0.143
O 0.868 0.116 0.364
O 0.868 0.858 0.888
O 0.870 0.609 0.865
O 0.872 0.118 0.858
O 0.872 0.391 0.643
O 0.874 0.141 0.118
O 0.874 0.390 0.143
O 0.877 0.145 0.611
O 0.878 0.639 0.112
O 0.879 0.364 0.395
O 0.880 0.361 0.895
O 0.881 0.641 0.611
O 0.883 0.863 0.392
O 0.901 0.894 0.643